(1)
An optimized crystal structure of LiTc2Ni2, computed with PBE.

Properties
The energy above the most stable polymorph in this dataset comes out at 0.0357 eV per atom. As for the density of states at the Fermi level: 9.02 states/eV per cell. As for the energy: -6.621 eV/atom.

a = 7.3381 Å, b = 7.3381 Å, c = 2.5344 Å
α = 90.00°, β = 90.00°, γ = 90.00°
Element x y z (fractional)
Ni  0.3813  0.8813  0.0000
Ni  0.8813  0.6187  0.0000
Ni  0.6187  0.1187  0.0000
Ni  0.1187  0.3813  0.0000
Tc  0.1752  0.6752  0.5000
Tc  0.6752  0.8248  0.5000
Tc  0.8248  0.3248  0.5000
Tc  0.3248  0.1752  0.5000
Li  0.0000  0.0000  0.0000
Li  0.5000  0.5000  0.0000

***

(2)
An optimized crystal structure of Dy5TeP4, computed with PBE.

Properties
As for the density of states at the Fermi level: 1.61 states/eV per cell. As for the energy: -6.372 eV/atom. For the formation energy without anion corrections, the calculation gives -1.593 eV/atom.

a = 4.0587 Å, b = 7.0663 Å, c = 9.1277 Å
α = 75.34°, β = 77.15°, γ = 73.31°
Element x y z (fractional)
Dy  0.2076  0.9026  0.6822
Dy  0.7924  0.0974  0.3178
Dy  0.3892  0.3359  0.8858
Dy  0.0000  0.5000  0.5000
Dy  0.6108  0.6641  0.1142
Te  0.0000  0.0000  0.0000
P  0.5965  0.2038  0.6032
P  0.2042  0.3879  0.2037
P  0.7958  0.6121  0.7963
P  0.4035  0.7962  0.3968

***

(3)
An optimized crystal structure of Li2CrPtN, computed with PBE.

Properties
As for the density of states at the Fermi level: 1.54 states/eV per cell. As for the energy: -5.956 eV/atom. For the formation energy without anion corrections, the calculation gives -0.393 eV/atom.

a = 3.9749 Å, b = 3.9749 Å, c = 3.7369 Å
α = 90.00°, β = 90.00°, γ = 90.00°
Element x y z (fractional)
Cr  0.0000  0.0000  0.5000
Li  0.0000  0.5000  0.0000
Li  0.5000  0.0000  0.0000
Pt  0.5000  0.5000  0.5000
N  0.0000  0.0000  0.0000

***

(4)
An optimized crystal structure of Ca2Sc2Pt, computed with PBE.

Properties
As for the density of states at the Fermi level: 15.76 states/eV per cell. As for the energy: -4.823 eV/atom.

a = 6.9767 Å, b = 6.9767 Å, c = 5.6591 Å
α = 90.00°, β = 90.00°, γ = 90.00°
Element x y z (fractional)
Sc  0.3420  0.8420  0.0000
Sc  0.8420  0.6580  0.0000
Sc  0.6580  0.1580  0.0000
Sc  0.1580  0.3420  0.0000
Ca  0.1772  0.6772  0.5000
Ca  0.6772  0.8228  0.5000
Ca  0.8228  0.3228  0.5000
Ca  0.3228  0.1772  0.5000
Pt  0.0000  0.0000  0.0000
Pt  0.5000  0.5000  0.0000